# Na2Sr6PtRh (PBE, optimized geometry)
data_Na2Sr6PtRh
_cell_length_a 8.435
_cell_length_b 8.435
_cell_length_c 8.466
_cell_angle_alpha 120.06
_cell_angle_beta 120.06
_cell_angle_gamma 90.03
_space_group_name_H-M_alt 'P 1'
_space_group_IT_number 1
loop_
_space_group_symop_operation_xyz
'x,y,z'
loop_
_atom_site_label
_atom_site_type_symbol
_atom_site_fract_x
_atom_site_fract_y
_atom_site_fract_z
Rh1 Rh 0.500 0.500 0.999
Pt1 Pt 0.000 0.000 0.999
Sr1 Sr 0.252 0.253 0.000
Sr2 Sr 0.252 0.252 0.504
Na1 Na 0.750 0.251 0.501
Sr3 Sr 0.747 0.748 0.495
Sr4 Sr 0.748 0.748 0.999
Na2 Na 0.251 0.751 0.501
Sr5 Sr 0.252 0.748 0.000
Sr6 Sr 0.748 0.253 0.000
# Size of the total moment ... 0.0 μB per formula unit
# Electronic total energy ... -2.910 eV/atom
# Space-group type ... Cm (8)